Material: BaCoAs2
Method: DFT, PBE-GGA
State: optimized geometry

Results
For the formation energy from the elements, the calculation gives 0.354 eV/atom.

```
data_BaCoAs2
_symmetry_space_group_name_H-M 'F -4 3 m'
_symmetry_Int_Tables_number 216
_symmetry_space_group_name_Hall 'F -4 2 3'
_cell_length_a 7.136
_cell_length_b 7.136
_cell_length_c 7.136
_cell_angle_alpha 90.00
_cell_angle_beta 90.00
_cell_angle_gamma 90.00
loop_
_atom_site_label
_atom_site_fract_x
_atom_site_fract_y
_atom_site_fract_z
Ba1 0.000 0.000 0.000
Co1 0.250 0.250 0.250
As1 0.000 0.000 0.500
As2 0.250 0.250 0.750
```

---

Material: CrAg2Pt
Method: DFT, PBE-GGA
State: optimized geometry

Results
For the formation energy from the elements, the calculation gives 0.335 eV/atom.

```
data_CrAg2Pt
_symmetry_space_group_name_H-M 'P 4/m m m'
_symmetry_Int_Tables_number 123
_symmetry_space_group_name_Hall '-P 4 2'
_cell_length_a 2.878
_cell_length_b 2.878
_cell_length_c 8.077
_cell_angle_alpha 90.00
_cell_angle_beta 90.00
_cell_angle_gamma 90.00
loop_
_atom_site_label
_atom_site_fract_x
_atom_site_fract_y
_atom_site_fract_z
Cr1 0.000 0.000 0.000
Ag1 0.500 0.500 0.247
Pt1 0.000 0.000 0.500
```

---

Material: Ac3TePtBr
Method: DFT, PBE-GGA
State: optimized geometry

Results
Its uncorrected formation energy is -1210 meV/atom.

```
data_Ac3TePtBr
_symmetry_space_group_name_H-M 'P 1 21/m 1'
_symmetry_Int_Tables_number 11
_cell_length_a 9.228
_cell_length_b 4.504
_cell_length_c 10.411
_cell_angle_alpha 90.00
_cell_angle_beta 102.47
_cell_angle_gamma 90.00
loop_
_symmetry_equiv_pos_as_xyz
'x,y,z'
'-x,-y,-z'
'-x,y+1/2,-z'
'x,-y+1/2,z'
loop_
_atom_site_label
_atom_site_fract_x
_atom_site_fract_y
_atom_site_fract_z
Ac1 0.050 0.250 0.341
Ac2 0.211 0.250 0.982
Ac3 0.378 0.750 0.604
Te1 0.310 0.750 0.253
Pt1 0.167 0.250 0.641
Br1 0.409 0.750 0.899
```

---

Material: CrHIrOs2
Method: DFT, PBE-GGA
State: optimized geometry

Results
The calculation puts the total energy at -8.7972 eV per atom.

```
data_CrHIrOs2
_symmetry_space_group_name_H-M 'P 4/m m m'
_symmetry_Int_Tables_number 123
_symmetry_space_group_name_Hall '-P 4 2'
_cell_length_a 3.864
_cell_length_b 3.864
_cell_length_c 3.855
_cell_angle_alpha 90.00
_cell_angle_beta 90.00
_cell_angle_gamma 90.00
loop_
_atom_site_label
_atom_site_fract_x
_atom_site_fract_y
_atom_site_fract_z
Cr1 0.000 0.000 0.000
H1 0.000 0.000 0.500
Ir1 0.500 0.500 0.000
Os1 0.000 0.500 0.500
```

---

Material: BeSbAu
Method: DFT, PBE-GGA
State: optimized geometry

Results
Its uncorrected formation energy is 150 meV/atom.

```
data_BeSbAu
_symmetry_space_group_name_H-M 'P 3 m 1'
_symmetry_Int_Tables_number 156
_cell_length_a 4.0658
_cell_length_b 4.0658
_cell_length_c 3.9284
_cell_angle_alpha 90.00
_cell_angle_beta 90.00
_cell_angle_gamma 120.00
loop_
_symmetry_equiv_pos_as_xyz
'x,y,z'
'-y,x-y,z'
'-x+y,-x,z'
'-y,-x,z'
'-x+y,y,z'
'x,x-y,z'
loop_
_atom_site_label
_atom_site_fract_x
_atom_site_fract_y
_atom_site_fract_z
Be1 0.0000 0.0000 0.0000
Sb1 0.3333 0.6667 0.5017
Au1 0.6667 0.3333 0.0020
```

---

Material: Nd3Pb3I13O40
Method: DFT, PBE-GGA
State: optimized geometry

Results
Its uncorrected formation energy is -868 meV/atom.

```
data_Nd3Pb3I13O40
_symmetry_space_group_name_H-M 'R 3 c'
_symmetry_Int_Tables_number 161
_symmetry_space_group_name_Hall 'R 3 -2"c'
_cell_length_a 22.2662
_cell_length_b 22.2662
_cell_length_c 13.9357
_cell_angle_alpha 90.00
_cell_angle_beta 90.00
_cell_angle_gamma 120.00
loop_
_atom_site_label
_atom_site_fract_x
_atom_site_fract_y
_atom_site_fract_z
Nd1 0.0367 0.1977 0.0000
Pb1 0.1058 0.0147 0.2717
I1 0.0000 0.0000 0.4876
I2 0.0373 0.3644 0.8721
I3 0.0753 0.5213 0.4106
I4 0.1606 0.3771 0.4867
I5 0.1855 0.4723 0.2367
O1 0.0000 0.0000 0.2170
O2 0.0071 0.4693 0.9542
O3 0.0125 0.2887 0.5253
O4 0.0293 0.1462 0.5241
O5 0.0325 0.5121 0.7136
O6 0.0446 0.2849 0.8731
O7 0.0638 0.2051 0.1753
O8 0.0648 0.3891 0.7474
O9 0.0741 0.0044 0.9226
O10 0.0879 0.1967 0.8451
O11 0.1547 0.0539 0.0963
O12 0.1611 0.4755 0.3620
O13 0.1668 0.4166 0.9436
O14 0.1799 0.4336 0.5927
```

---

Material: Eu2PaHg
Method: DFT, PBE-GGA
State: optimized geometry

Results
For the formation energy from the elements, the calculation gives 0.332 eV/atom.

```
data_Eu2PaHg
_symmetry_space_group_name_H-M 'R -3 m'
_symmetry_Int_Tables_number 166
_symmetry_space_group_name_Hall '-R 3 2"'
_cell_length_a 5.4924
_cell_length_b 5.4924
_cell_length_c 13.4161
_cell_angle_alpha 90.00
_cell_angle_beta 90.00
_cell_angle_gamma 120.00
loop_
_atom_site_label
_atom_site_fract_x
_atom_site_fract_y
_atom_site_fract_z
Eu1 0.0000 0.0000 0.2494
Pa1 0.0000 0.0000 0.5000
Hg1 0.0000 0.0000 0.0000
```

---

Material: Nb8VC2
Method: DFT, PBE-GGA
State: optimized geometry

Results
For the formation energy from the elements, the calculation gives 0.169 eV/atom.

```
data_Nb8VC2
_symmetry_space_group_name_H-M 'C 1 2/m 1'
_symmetry_Int_Tables_number 12
_cell_length_a 14.211
_cell_length_b 5.401
_cell_length_c 4.698
_cell_angle_alpha 90.00
_cell_angle_beta 104.05
_cell_angle_gamma 90.00
loop_
_symmetry_equiv_pos_as_xyz
'x,y,z'
'-x,-y,-z'
'-x,y,-z'
'x,-y,z'
'x+1/2,y+1/2,z'
'-x+1/2,-y+1/2,-z'
'-x+1/2,y+1/2,-z'
'x+1/2,-y+1/2,z'
loop_
_atom_site_label
_atom_site_fract_x
_atom_site_fract_y
_atom_site_fract_z
Nb1 0.095 0.239 0.133
Nb2 0.111 0.500 0.651
Nb3 0.224 0.000 0.725
V1 0.000 0.000 0.500
C1 0.231 0.000 0.235
```

---

Material: ZnCd2Se
Method: DFT, PBE-GGA
State: optimized geometry

Results
Its uncorrected formation energy is 82 meV/atom.

```
data_ZnCd2Se
_symmetry_space_group_name_H-M 'I 4/m m m'
_symmetry_Int_Tables_number 139
_symmetry_space_group_name_Hall '-I 4 2'
_cell_length_a 4.596
_cell_length_b 4.596
_cell_length_c 8.256
_cell_angle_alpha 90.00
_cell_angle_beta 90.00
_cell_angle_gamma 90.00
loop_
_atom_site_label
_atom_site_fract_x
_atom_site_fract_y
_atom_site_fract_z
Zn1 0.000 0.000 0.000
Cd1 0.000 0.500 0.250
Se1 0.000 0.000 0.500
```

---

Material: CeDy2Er8
Method: DFT, PBE-GGA
State: optimized geometry

Results
For the formation energy from the elements, the calculation gives 0.174 eV/atom.

```
data_CeDy2Er8
_symmetry_space_group_name_H-M 'C 1 2/m 1'
_symmetry_Int_Tables_number 12
_cell_length_a 18.932
_cell_length_b 6.851
_cell_length_c 5.498
_cell_angle_alpha 90.00
_cell_angle_beta 92.77
_cell_angle_gamma 90.00
loop_
_symmetry_equiv_pos_as_xyz
'x,y,z'
'-x,-y,-z'
'-x,y,-z'
'x,-y,z'
'x+1/2,y+1/2,z'
'-x+1/2,-y+1/2,-z'
'-x+1/2,y+1/2,-z'
'x+1/2,-y+1/2,z'
loop_
_atom_site_label
_atom_site_fract_x
_atom_site_fract_y
_atom_site_fract_z
Ce1 0.000 0.000 0.000
Dy1 0.216 0.500 0.249
Er1 0.047 0.500 0.238
Er2 0.132 0.265 0.733
Er3 0.187 0.000 0.234
```

---

Material: SrSm2WN4
Method: DFT, PBE-GGA
State: optimized geometry

Results
Its uncorrected formation energy is -976 meV/atom.

```
data_SrSm2WN4
_symmetry_space_group_name_H-M 'C m c m'
_symmetry_Int_Tables_number 63
_symmetry_space_group_name_Hall '-C 2c 2'
_cell_length_a 3.511
_cell_length_b 12.388
_cell_length_c 12.373
_cell_angle_alpha 90.00
_cell_angle_beta 90.00
_cell_angle_gamma 90.00
loop_
_atom_site_label
_atom_site_fract_x
_atom_site_fract_y
_atom_site_fract_z
Sr1 0.000 0.084 0.250
Sm1 0.000 0.371 0.037
W1 0.000 0.177 0.750
N1 0.000 0.000 0.000
N2 0.000 0.262 0.623
N3 0.000 0.408 0.250
```

---

Material: La4Pr3PuS8
Method: DFT, PBE-GGA
State: optimized geometry

Results
Its uncorrected formation energy is -2067 meV/atom.

```
data_La4Pr3PuS8
_symmetry_space_group_name_H-M 'R -3 m'
_symmetry_Int_Tables_number 166
_symmetry_space_group_name_Hall '-R 3 2"'
_cell_length_a 8.2261
_cell_length_b 8.2261
_cell_length_c 20.1737
_cell_angle_alpha 90.00
_cell_angle_beta 90.00
_cell_angle_gamma 120.00
loop_
_atom_site_label
_atom_site_fract_x
_atom_site_fract_y
_atom_site_fract_z
La1 0.0000 0.0000 0.0000
La2 0.0000 0.5000 0.0000
Pr1 0.0000 0.5000 0.5000
Pu1 0.0000 0.0000 0.5000
S1 0.0000 0.0000 0.2494
S2 0.0059 0.5030 0.2479
```

---

Calculated total magnetization (μB per cell), listed in the same order as above: 5.90, 3.93, 0.00, 0.85, 0.00, 1.06, 52.45, 0.00, 0.00, 2.11, 2.57, 17.09